# 1
VASP calculation (PBE) on In5Sn12Sb3 after structural relaxation.

a b c (Å): 15.366 15.366 15.366
angles (deg): 109.47 109.47 109.47
Element x y z (fractional)
Sb 0.750 0.375 0.125
Sb 0.875 0.750 0.125
Sb 0.375 0.750 0.625
Sb 0.250 0.125 0.375
Sb 0.875 0.125 0.250
Sb 0.375 0.625 0.250
Sb 0.625 0.375 0.750
Sb 0.125 0.875 0.750
Sb 0.750 0.875 0.625
Sb 0.625 0.250 0.375
Sb 0.125 0.250 0.875
Sb 0.250 0.625 0.875
In 0.125 0.375 0.250
In 0.000 0.500 0.000
In 0.000 0.000 0.000
In 0.375 0.250 0.125
In 0.500 0.000 0.500
In 0.500 0.500 0.000
In 0.125 0.750 0.375
In 0.750 0.125 0.875
In 0.750 0.625 0.375
In 0.375 0.125 0.750
In 0.625 0.875 0.250
In 0.500 0.500 0.500
In 0.500 0.000 0.000
In 0.000 0.000 0.500
In 0.250 0.375 0.625
In 0.250 0.875 0.125
In 0.000 0.500 0.500
In 0.875 0.250 0.625
In 0.625 0.750 0.875
In 0.875 0.625 0.750
Sn 0.728 0.148 0.069
Sn 0.342 0.569 0.422
Sn 0.931 0.352 0.272
Sn 0.569 0.228 0.148
Sn 0.580 0.728 0.658
Sn 0.931 0.578 0.158
Sn 0.342 0.772 0.420
Sn 0.078 0.920 0.148
Sn 0.578 0.931 0.658
Sn 0.728 0.580 0.158
Sn 0.772 0.431 0.352
Sn 0.842 0.922 0.069
Sn 0.148 0.728 0.569
Sn 0.352 0.422 0.080
Sn 0.080 0.922 0.352
Sn 0.420 0.148 0.578
Sn 0.080 0.158 0.228
Sn 0.431 0.658 0.078
Sn 0.842 0.920 0.272
Sn 0.148 0.420 0.078
Sn 0.352 0.931 0.772
Sn 0.578 0.648 0.420
Sn 0.922 0.842 0.569
Sn 0.772 0.342 0.920
Sn 0.422 0.352 0.580
Sn 0.078 0.158 0.431
Sn 0.228 0.658 0.080
Sn 0.158 0.080 0.728
Sn 0.648 0.069 0.228
Sn 0.852 0.580 0.922
Sn 0.569 0.342 0.922
Sn 0.580 0.852 0.422
Sn 0.920 0.842 0.772
Sn 0.920 0.078 0.648
Sn 0.852 0.272 0.431
Sn 0.158 0.078 0.931
Sn 0.648 0.578 0.920
Sn 0.422 0.069 0.342
Sn 0.272 0.420 0.842
Sn 0.228 0.569 0.648
Sn 0.922 0.080 0.852
Sn 0.658 0.228 0.580
Sn 0.431 0.772 0.852
Sn 0.069 0.422 0.842
Sn 0.420 0.272 0.342
Sn 0.069 0.648 0.728
Sn 0.658 0.431 0.578
Sn 0.272 0.852 0.931

## Properties
- Space-group type: No. 230
- Total magnetization: 0.00 μB/cell
- V: 34.91 Å³ per atom
- Fermi-level density of states: 48.2 states/eV/cell
- Electronic total energy: -69.71 eV/f.u.

=====

# 2
VASP calculation (PBE) on InSn2Sb2 after structural relaxation.

a b c (Å): 4.504 4.504 8.279
angles (deg): 74.22 74.22 90.00
Element x y z (fractional)
Sb 0.750 0.250 0.500
Sb 0.250 0.750 0.500
Sn 0.400 0.400 0.201
Sn 0.600 0.600 0.799
In 0.000 0.000 0.000

## Properties
- Space-group type: No. 139
- Total magnetization: 0.00 μB/cell
- V: 31.01 Å³ per atom
- Fermi-level density of states: 2.9 states/eV/cell
- Electronic total energy: -18.05 eV/f.u.
- Polymorph energy (0 for the lowest one): 98 meV/atom

=====

# 3
VASP calculation (PBE) on InSn2Sb after structural relaxation.

a b c (Å): 5.230 5.230 8.048
angles (deg): 71.04 71.04 60.00
Element x y z (fractional)
Sb 0.500 0.500 0.500
Sn 0.132 0.132 0.604
Sn 0.868 0.868 0.396
In 0.000 0.000 0.000

## Properties
- Space-group type: No. 166
- Total magnetization: 0.00 μB/cell
- V: 44.17 Å³ per atom
- Fermi-level density of states: 3.0 states/eV/cell
- Electronic total energy: -13.26 eV/f.u.
- Polymorph energy (0 for the lowest one): 371 meV/atom

=====

# 4
VASP calculation (PBE) on InSnSb2 after structural relaxation.

a b c (Å): 5.384 5.384 5.384
angles (deg): 60.00 60.00 60.00
Element x y z (fractional)
Sb 0.250 0.250 0.250
Sb 0.750 0.750 0.750
Sn 0.500 0.500 0.500
In 0.000 0.000 0.000

## Properties
- Space-group type: No. 225
- Total magnetization: 0.00 μB/cell
- V: 27.59 Å³ per atom
- Fermi-level density of states: 2.4 states/eV/cell
- Electronic total energy: -14.51 eV/f.u.
- Polymorph energy (0 for the lowest one): 115 meV/atom